No. 1
# Cs2SnS3

A relaxed structure of Cs2SnS3 (PBE, the Alexandria database).

```
Cs2SnS3
1.0
-8.964 -1.429 0.885
1.040 -2.419 6.623
3.617 7.072 1.066
Cs Sn S
4 2 6
direct
0.502 0.700 0.314
0.812 0.200 0.314
0.188 0.800 0.686
0.498 0.300 0.686
0.919 0.750 0.000
0.081 0.250 0.000
0.343 0.250 0.000
0.657 0.750 0.000
0.164 0.988 0.255
0.908 0.512 0.745
0.092 0.488 0.255
0.836 0.012 0.745
```

The density of states at the Fermi level is 0.00 states/eV/cell. The density comes out at 3.8 g/cm³. Its space group is C2/c (15). For the total magnetization, the calculation gives 0.0 μB/cell. The energy relative to the elements, uncorrected comes out at -930 meV/atom.

---

No. 2
# TmMn2Si2

A relaxed structure of TmMn2Si2 (PBE, the Alexandria database).

```
TmMn2Si2
1.0
-0.515 -3.821 -0.079
2.186 -0.360 3.157
-4.260 0.512 3.007
Tm Mn Si
1 2 2
direct
0.000 0.000 0.000
0.500 0.000 0.500
0.000 0.500 0.500
0.500 0.500 0.772
0.500 0.500 0.228
```

The density of states at the Fermi level is 3.27 states/eV/cell. The density comes out at 7.1 g/cm³. Its space group is P4/mmm (123). For the total magnetization, the calculation gives 4.4 μB/cell. The energy relative to the elements, uncorrected comes out at -532 meV/atom.

---

No. 3
# Tb3NdY12

A relaxed structure of Tb3NdY12 (PBE, the Alexandria database).

```
Tb3NdY12
1.0
5.057 0.000 0.000
0.000 5.057 0.000
0.000 0.000 20.235
Tb Nd Y
3 1 12
direct
0.000 0.000 0.251
0.000 0.000 0.500
0.000 0.000 0.749
0.000 0.000 0.000
0.500 0.500 0.000
0.500 0.500 0.251
0.500 0.500 0.500
0.500 0.500 0.749
0.500 0.000 0.126
0.500 0.000 0.375
0.500 0.000 0.625
0.500 0.000 0.874
0.000 0.500 0.126
0.000 0.500 0.375
0.000 0.500 0.625
0.000 0.500 0.874
```

The density of states at the Fermi level is 22.67 states/eV/cell. The density comes out at 5.4 g/cm³. Its space group is P4/mmm (123). For the total magnetization, the calculation gives 0.0 μB/cell. The calculation puts the formation energy at 2.1 kJ/mol of atoms.

---

No. 4
# AgSnRuSe2

A relaxed structure of AgSnRuSe2 (PBE, the Alexandria database).

```
AgSnRuSe2
1.0
5.056 0.000 0.000
0.000 5.055 0.000
0.000 0.000 5.056
Ru Se Sn Ag
1 2 1 1
direct
0.000 0.500 0.000
0.000 0.000 0.500
0.500 0.000 0.000
0.500 0.500 0.500
0.000 0.000 0.000
```

The density of states at the Fermi level is 3.86 states/eV/cell. The density comes out at 6.2 g/cm³. Its space group is P4/mmm (123). For the total magnetization, the calculation gives 2.5 μB/cell. The energy relative to the elements, uncorrected comes out at 954 meV/atom.

---

No. 5
# V2AgN2

A relaxed structure of V2AgN2 (PBE, the Alexandria database).

```
V2AgN2
1.0
-4.337 1.935 -4.377
-4.771 -2.212 3.749
-0.155 2.377 1.205
V Ag N
4 2 4
direct
0.373 0.873 0.000
0.873 0.627 0.000
0.627 0.127 0.000
0.127 0.373 0.000
0.000 0.000 0.000
0.500 0.500 0.000
0.128 0.628 0.500
0.628 0.872 0.500
0.872 0.372 0.500
0.372 0.128 0.500
```

The density of states at the Fermi level is 7.37 states/eV/cell. The density comes out at 7.1 g/cm³. Its space group is P4/mbm (127). For the total magnetization, the calculation gives 0.7 μB/cell. The energy relative to the elements, uncorrected comes out at 269 meV/atom.

---

No. 6
# RbMg2RhPb

A relaxed structure of RbMg2RhPb (PBE, the Alexandria database).

```
RbMg2RhPb
1.0
-2.720 -4.352 0.752
3.504 -1.588 3.479
-2.720 2.359 3.816
Pb Mg Rh Rb
1 2 1 1
direct
0.000 0.000 0.500
0.000 0.500 0.000
0.500 0.000 0.000
0.000 0.000 0.000
0.500 0.500 0.500
```

The density of states at the Fermi level is 1.82 states/eV/cell. The density comes out at 5.2 g/cm³. Its space group is P4/mmm (123). For the total magnetization, the calculation gives 0.0 μB/cell. The calculation puts the formation energy at -14.1 kJ/mol of atoms.